Record 1
Tb19Dy4Y6 | PBE | optimized geometry

```
data_Tb19Dy4Y6
_space_group_name_H-M_alt 'I 2 3'
_space_group_IT_number 197
_space_group_name_Hall 'I 2 2 3'
_cell_length_a 12.467
_cell_length_b 12.467
_cell_length_c 12.467
_cell_angle_alpha 90.00
_cell_angle_beta 90.00
_cell_angle_gamma 90.00
loop_
_atom_site_label
_atom_site_type_symbol
_atom_site_fract_x
_atom_site_fract_y
_atom_site_fract_z
_atom_site_occupancy
Tb1 Tb 0.000 0.000 0.000 1
Tb2 Tb 0.000 0.000 0.258 1
Tb3 Tb 0.063 0.259 0.278 1
Dy1 Dy 0.180 0.180 0.820 1
Y1 Y 0.000 0.372 0.500 1
```

DOS at the Fermi energy in states/eV per atom: 1.53
Mass density in g cm⁻³: 7.20
Uncorrected energy in eV/atom: -4.6217
Size of the total moment in μB per formula unit: 0.00

---

Record 2
NbVIn2Pb | PBE | optimized geometry

```
data_NbVIn2Pb
_space_group_name_H-M_alt 'P 4/m m m'
_space_group_IT_number 123
_space_group_name_Hall '-P 4 2'
_cell_length_a 5.469
_cell_length_b 5.469
_cell_length_c 5.365
_cell_angle_alpha 90.00
_cell_angle_beta 90.00
_cell_angle_gamma 90.00
loop_
_atom_site_label
_atom_site_type_symbol
_atom_site_fract_x
_atom_site_fract_y
_atom_site_fract_z
_atom_site_occupancy
Nb1 Nb 0.000 0.000 0.000 1
V1 V 0.500 0.500 0.000 1
In1 In 0.000 0.500 0.500 1
Pb1 Pb 0.000 0.000 0.500 1
```

DOS at the Fermi energy in states/eV per atom: 2.06
Mass density in g cm⁻³: 6.01
Uncorrected energy in eV/atom: -3.7248
Size of the total moment in μB per formula unit: 0.38